(1)
# Ti3BiAu (PBE-GGA, optimized geometry)
data_Ti3BiAu
_space_group_name_H-M_alt 'P m -3 m'
_space_group_IT_number 221
_space_group_name_Hall '-P 4 2 3'
_cell_length_a 4.935
_cell_length_b 4.935
_cell_length_c 4.935
_cell_angle_alpha 90.00
_cell_angle_beta 90.00
_cell_angle_gamma 90.00
loop_
_atom_site_label
_atom_site_type_symbol
_atom_site_fract_x
_atom_site_fract_y
_atom_site_fract_z
Ti1 Ti 0.000 0.000 0.500
Bi1 Bi 0.500 0.500 0.500
Au1 Au 0.000 0.000 0.000
# VASP energy in eV per atom: -5.710
# Offset from the most stable computed form in eV per atom: 0.000
# Energy of formation from the pure elements in eV/f.u.: 2.29
# Calculated volume in Å³/atom: 24.039

(2)
# As2PIr (PBE-GGA, optimized geometry)
data_As2PIr
_space_group_name_H-M_alt 'F -4 3 m'
_space_group_IT_number 216
_space_group_name_Hall 'F -4 2 3'
_cell_length_a 6.359
_cell_length_b 6.359
_cell_length_c 6.359
_cell_angle_alpha 90.00
_cell_angle_beta 90.00
_cell_angle_gamma 90.00
loop_
_atom_site_label
_atom_site_type_symbol
_atom_site_fract_x
_atom_site_fract_y
_atom_site_fract_z
As1 As 0.000 0.000 0.000
As2 As 0.250 0.250 0.250
P1 P 0.250 0.250 0.750
Ir1 Ir 0.000 0.000 0.500
# VASP energy in eV per atom: -5.442
# Energy of formation from the pure elements in eV/f.u.: 1.80
# Calculated volume in Å³/atom: 16.072

(3)
# Rb2Re2Sn (PBE-GGA, optimized geometry)
data_Rb2Re2Sn
_space_group_name_H-M_alt 'P 4/m b m'
_space_group_IT_number 127
_space_group_name_Hall '-P 4 2ab'
_cell_length_a 10.514
_cell_length_b 10.514
_cell_length_c 2.787
_cell_angle_alpha 90.00
_cell_angle_beta 90.00
_cell_angle_gamma 90.00
loop_
_atom_site_label
_atom_site_type_symbol
_atom_site_fract_x
_atom_site_fract_y
_atom_site_fract_z
Rb1 Rb 0.118 0.382 0.000
Re1 Re 0.182 0.682 0.500
Sn1 Sn 0.000 0.000 0.000
# VASP energy in eV per atom: -4.015
# Offset from the most stable computed form in eV per atom: 1.358
# Energy of formation from the pure elements in eV/f.u.: 10.76
# Calculated volume in Å³/atom: 30.803

(4)
# Pm2ScAgTe5 (PBE-GGA, optimized geometry)
data_Pm2ScAgTe5
_space_group_name_H-M_alt 'C m c 21'
_space_group_IT_number 36
_cell_length_a 4.324
_cell_length_b 18.735
_cell_length_c 13.086
_cell_angle_alpha 90.00
_cell_angle_beta 90.00
_cell_angle_gamma 90.00
loop_
_space_group_symop_operation_xyz
'x,y,z'
'-x,-y,z+1/2'
'-x,y,z'
'x,-y,z+1/2'
'x+1/2,y+1/2,z'
'-x+1/2,-y+1/2,z+1/2'
'-x+1/2,y+1/2,z'
'x+1/2,-y+1/2,z+1/2'
loop_
_atom_site_label
_atom_site_type_symbol
_atom_site_fract_x
_atom_site_fract_y
_atom_site_fract_z
Pm1 Pm 0.000 0.112 0.000
Pm2 Pm 0.000 0.127 0.617
Sc1 Sc 0.000 0.190 0.323
Ag1 Ag 0.000 0.428 0.771
Te1 Te 0.000 0.045 0.389
Te2 Te 0.000 0.285 0.974
Te3 Te 0.000 0.302 0.656
Te4 Te 0.000 0.351 0.312
Te5 Te 0.000 0.498 0.091
# VASP energy in eV per atom: -4.944
# Formation energy from raw total energies in eV per atom: -1.1229
# Calculated volume in Å³/atom: 29.445

(5)
# PmTm3Al (PBE-GGA, optimized geometry)
data_PmTm3Al
_space_group_name_H-M_alt 'C 1 2/c 1'
_space_group_IT_number 15
_cell_length_a 9.818
_cell_length_b 13.542
_cell_length_c 9.019
_cell_angle_alpha 90.00
_cell_angle_beta 101.77
_cell_angle_gamma 90.00
loop_
_space_group_symop_operation_xyz
'x,y,z'
'-x,-y,-z'
'-x,y,-z+1/2'
'x,-y,z+1/2'
'x+1/2,y+1/2,z'
'-x+1/2,-y+1/2,-z'
'-x+1/2,y+1/2,-z+1/2'
'x+1/2,-y+1/2,z+1/2'
loop_
_atom_site_label
_atom_site_type_symbol
_atom_site_fract_x
_atom_site_fract_y
_atom_site_fract_z
Pm1 Pm 0.071 0.179 0.081
Tm1 Tm 0.107 0.426 0.928
Tm2 Tm 0.175 0.064 0.725
Tm3 Tm 0.200 0.344 0.581
Al1 Al 0.000 0.242 0.750
Al2 Al 0.000 0.378 0.250
# VASP energy in eV per atom: -4.398
# Offset from the most stable computed form in eV per atom: 0.125
# Energy of formation from the pure elements in eV/f.u.: -0.08
# Calculated volume in Å³/atom: 29.348

(6)
# NaMn3Ge (PBE-GGA, optimized geometry)
data_NaMn3Ge
_space_group_name_H-M_alt 'P m -3 m'
_space_group_IT_number 221
_space_group_name_Hall '-P 4 2 3'
_cell_length_a 5.004
_cell_length_b 5.004
_cell_length_c 5.004
_cell_angle_alpha 90.00
_cell_angle_beta 90.00
_cell_angle_gamma 90.00
loop_
_atom_site_label
_atom_site_type_symbol
_atom_site_fract_x
_atom_site_fract_y
_atom_site_fract_z
Na1 Na 0.000 0.000 0.000
Mn1 Mn 0.000 0.000 0.500
Ge1 Ge 0.500 0.500 0.500
# VASP energy in eV per atom: -5.019
# Energy of formation from the pure elements in eV/f.u.: 8.35
# Calculated volume in Å³/atom: 25.060

Which of these has the highest calculated volume?
Rb2Re2Sn